(1)
FeSbP2 | SCAN | PBEsol geometry

Structure (POSCAR):
```
FeSbP2
1.0
-0.762 2.537 2.504
1.326 -1.941 2.370
5.055 1.583 -1.531
P Fe Sb
2 1 1
direct
0.700 0.500 0.060
0.113 0.000 0.074
0.160 0.500 0.811
0.527 0.000 0.555
```

Results
space-group type: No. 6
uncorrected formation energy: 232 meV/atom
electronic total energy: -18.82 eV per atom



(2)
Fe2SbP | SCAN | PBEsol geometry

Structure (POSCAR):
```
Fe2SbP
1.0
-2.176 1.231 1.933
-2.213 -1.824 -1.329
1.047 -3.974 3.709
Sb Fe P
1 2 1
direct
0.500 0.500 0.786
0.000 0.000 0.008
0.500 0.500 0.310
0.000 0.000 0.397
```

Results
space-group type: No. 99
uncorrected formation energy: 107 meV/atom
electronic total energy: -20.87 eV per atom



(3)
Fe2SbP | SCAN | PBEsol geometry

Structure (POSCAR):
```
Fe2SbP
1.0
2.851 0.000 0.000
0.000 2.851 0.000
0.000 0.000 6.327
P Sb Fe
1 1 2
direct
0.500 0.500 0.000
0.500 0.500 0.500
0.000 0.000 0.803
0.000 0.000 0.197
```

Results
space-group type: No. 123
uncorrected formation energy: 311 meV/atom
electronic total energy: -20.67 eV per atom